{
  "formula": "VPO2F",
  "functional": "GGA+U",
  "state": "relaxed",
  "lattice_angstrom": [[4.309, 0.000, 0.000], [0.000, 4.309, 0.000], [0.000, 0.000, 3.411]],
  "species": ["V", "P", "O", "O", "F"],
  "frac_coords": [[0.000, 0.000, 0.000], [0.500, 0.500, 0.000], [0.000, 0.500, 0.500], [0.500, 0.000, 0.500], [0.500, 0.500, 0.500]],
  "energy_ev_per_atom": -4.422,
  "n_ef_per_ev_cell": 2.3
}